1.
The following is a DFT calculation (GGA-PBE) of a relaxed InPRh2 crystal.

ΔE_f = -324 meV/atom
Total energy = -6.04 eV per atom

Lattice parameters (Å, degrees): 3.4850 5.0332 7.4753 90.00 90.00 90.00
With the nearest neighbours (Å) after each atom.
Space group Immm (No. 71)
Inequivalent atoms, fractional coordinates:
In  0.0000  0.0000  0.0000 [2 per cell]  8 Rh 2.88-2.90, 4 P 3.06
P  0.0000  0.0000  0.5000 [2 per cell]  4 Rh 2.26
Rh  0.0000  0.5000  0.1927 [4 per cell]  2 P 2.26

=====

2.
The following is a DFT calculation (GGA-PBE) of a relaxed TbScPd6 crystal.

ΔE_f = -846 meV/atom
Total energy = -6.11 eV per atom

Lattice parameters (Å, degrees): 4.0812 4.0812 8.1060 90.00 90.00 90.00
With the nearest neighbours (Å) after each atom.
Space group P4/mmm (No. 123)
Inequivalent atoms, fractional coordinates:
Tb  0.0000  0.0000  0.0000 [1 per cell]  12 Pd 2.89-2.93
Sc  0.0000  0.0000  0.5000 [1 per cell]  12 Pd 2.82-2.89
Pd  0.0000  0.5000  0.2594 [4 per cell]  2 Sc 2.82, 8 Pd 2.82-2.93, 2 Tb 2.93
Pd  0.5000  0.5000  0.0000 [1 per cell]  4 Tb 2.89, 8 Pd 2.93
Pd  0.5000  0.5000  0.5000 [1 per cell]  8 Pd 2.82, 4 Sc 2.89

=====

3.
The following is a DFT calculation (GGA-PBE) of a relaxed Nd2SmGe crystal.

ΔE_f = -214 meV/atom
ΔE to the lowest computed polymorph = 0.214 eV/atom
Total energy = -4.93 eV per atom

Lattice parameters (Å, degrees): 3.9157 3.9157 29.5286 90.00 90.00 120.00
With the nearest neighbours (Å) after each atom.
Space group R3m (No. 160, hexagonal axes)
Inequivalent atoms, fractional coordinates:
Nd  0.0000  0.0000  0.0000 [3 per cell]  3 Ge 2.97
Nd  0.0000  0.0000  0.2033 [3 per cell]  3 Ge 2.96
Sm  0.0000  0.0000  0.4359 [3 per cell]  6 Nd 3.74-3.78, 6 Sm 3.92
Ge  0.0000  0.0000  0.6014 [3 per cell]  6 Nd 2.96-2.97

=====

4.
The following is a DFT calculation (GGA-PBE) of a relaxed Ba6SrLi crystal.

ΔE_f = 80 meV/atom
ΔE to the lowest computed polymorph = 0.021 eV/atom
Total energy = -1.81 eV per atom

Lattice parameters (Å, degrees): 11.0132 11.0132 13.4464 90.00 90.00 120.00
With the nearest neighbours (Å) after each atom.
Space group R-3 (No. 148, hexagonal axes)
Inequivalent atoms, fractional coordinates:
Ba  0.0013  0.2501  0.2514 [18 per cell]  2 Ba 3.85-3.93
Sr  0.0000  0.0000  0.0000 [3 per cell]  12 Ba 4.36
Li  0.0000  0.0000  0.5000 [3 per cell]  12 Ba 4.33-4.35

=====

5.
The following is a DFT calculation (GGA-PBE) of a relaxed AcLa5TbNd2 crystal.

ΔE_f = 236 meV/atom
Total energy = -4.53 eV per atom

Lattice parameters (Å, degrees): 9.2007 9.2007 15.8033 90.00 90.00 90.00
With the nearest neighbours (Å) after each atom.
Space group I4/mcm (No. 140)
Inequivalent atoms, fractional coordinates:
Ac  0.0000  0.0000  0.2500 [4 per cell]  10 La 3.79-3.95
La  0.0000  0.0000  0.0000 [4 per cell]  4 Nd 3.69, 8 La 3.93, 2 Ac 3.95
La  0.2010  0.2990  0.1335 [16 per cell]  1 Nd 3.18, 1 Tb 3.20
Tb  0.0000  0.5000  0.2500 [4 per cell]  4 La 3.20
Nd  0.1164  0.3836  0.5000 [8 per cell]  1 Nd 3.03, 2 La 3.18

=====

6.
The following is a DFT calculation (GGA-PBE) of a relaxed BeTe2Pt crystal.

E_form (uncorrected) = 0.381 eV per atom
Total energy = -3.63 eV per atom

Lattice parameters (Å, degrees): 3.7132 3.7132 15.9448 90.00 90.00 90.00
With the nearest neighbours (Å) after each atom.
Space group I-4m2 (No. 119)
Inequivalent atoms, fractional coordinates:
Be  0.0000  0.0000  0.0000 [2 per cell]  4 Te 2.63
Te  0.0000  0.0000  0.5000 [2 per cell]  4 Be 2.63
Te  0.0000  0.5000  0.2500 [2 per cell]  4 Pt 2.63
Pt  0.0000  0.5000  0.7500 [2 per cell]  4 Te 2.63

=====

7.
The following is a DFT calculation (GGA-PBE) of a relaxed Pm3HoN4 crystal.

E_form (uncorrected) = -1.488 eV per atom
ΔE to the lowest computed polymorph = 0.010 eV/atom
Total energy = -8.00 eV per atom

Lattice parameters (Å, degrees): 5.0588 5.0588 5.0588 90.00 90.00 90.00
With the nearest neighbours (Å) after each atom.
Space group Pm-3m (No. 221)
Inequivalent atoms, fractional coordinates:
Pm  0.0000  0.0000  0.5000 [3 per cell]  6 N 2.53
Ho  0.5000  0.5000  0.5000 [1 per cell]  6 N 2.53
N  0.0000  0.0000  0.0000 [1 per cell]  6 Pm 2.53
N  0.0000  0.5000  0.5000 [3 per cell]  2 Ho 2.53, 4 Pm 2.53

=====

8.
The following is a DFT calculation (GGA-PBE) of a relaxed NbFe2SiH crystal.

Total energy = -7.34 eV per atom

Lattice parameters (Å, degrees): 3.6940 3.6940 4.0929 90.00 90.00 90.00
With the nearest neighbours (Å) after each atom.
Space group P4/mmm (No. 123)
Inequivalent atoms, fractional coordinates:
Nb  0.0000  0.0000  0.0000 [1 per cell]  2 H 2.05
Fe  0.0000  0.5000  0.5000 [2 per cell]  2 H 1.85
Si  0.5000  0.5000  0.0000 [1 per cell]  4 Nb 2.61, 8 Fe 2.76
H  0.0000  0.0000  0.5000 [1 per cell]  4 Fe 1.85, 2 Nb 2.05

=====

9.
The following is a DFT calculation (GGA-PBE) of a relaxed Nd4SmTh crystal.

ΔE_f = 38 meV/atom
ΔE to the lowest computed polymorph = 0.000 eV/atom
Total energy = -5.16 eV per atom

Lattice parameters (Å, degrees): 3.6389 6.3242 9.6910 77.54 79.26 73.76
With the nearest neighbours (Å) after each atom.
Space group P-1 (No. 2)
Inequivalent atoms, fractional coordinates:
Nd  0.1632  0.0010  0.1732 [2 per cell]  2 Th 3.60-3.61, 7 Nd 3.60-3.77, 3 Sm 3.66-3.70
Nd  0.1640  0.5076  0.6624 [2 per cell]  7 Nd 3.60-3.70, 3 Th 3.60-3.68, 2 Sm 3.69
Sm  0.5000  0.5000  0.0000 [1 per cell]  2 Sm 3.64, 10 Nd 3.66-3.70
Th  0.5000  0.0000  0.5000 [1 per cell]  10 Nd 3.60-3.68, 2 Th 3.64

=====

10.
The following is a DFT calculation (GGA-PBE) of a relaxed NdSm5Er4 crystal.

ΔE_f = 293 meV/atom
Total energy = -4.37 eV per atom

Lattice parameters (Å, degrees): 10.2467 10.2467 6.3278 90.00 90.00 90.00
With the nearest neighbours (Å) after each atom.
Space group I4 (No. 79)
Inequivalent atoms, fractional coordinates:
Nd  0.0000  0.0000  0.0000 [2 per cell]  1 Sm 2.89
Sm  0.0000  0.0000  0.5428 [2 per cell]  1 Nd 2.89
Sm  0.1469  0.2346  0.2709 [8 per cell]  4 Er 3.23-3.53, 1 Nd 3.31, 1 Sm 3.32
Er  0.0494  0.3489  0.7695 [8 per cell]  4 Sm 3.23-3.53, 1 Er 3.26

=====

11.
The following is a DFT calculation (GGA-PBE) of a relaxed LaPm2Pr2Ho2 crystal.

ΔE_f = 84 meV/atom
Total energy = -4.65 eV per atom

Lattice parameters (Å, degrees): 11.8814 3.5815 12.1243 90.00 109.56 90.00
With the nearest neighbours (Å) after each atom.
Space group C2/m (No. 12)
Inequivalent atoms, fractional coordinates:
La  0.0000  0.0000  0.0000 [2 per cell]  6 Ho 3.58-3.61, 2 La 3.58, 4 Pm 3.60
Pm  0.0518  0.5000  0.2704 [4 per cell]  3 Ho 3.55-3.61, 4 Pr 3.57-3.68, 2 Pm 3.58, 2 La 3.60
Pr  0.1677  0.5000  0.5829 [4 per cell]  4 Pm 3.57-3.68, 5 Pr 3.58-3.81, 2 Ho 3.70
Ho  0.2240  0.0000  0.8633 [4 per cell]  3 Pm 3.55-3.61, 3 La 3.58-3.61, 4 Ho 3.58-3.63, 2 Pr 3.70